[1]
Pm2TiZn2Pt5 | PBE-GGA | relaxed

Computed properties:
SG: No. 127
Total magnetic moment in μB/f.u.: 0.00
Crystal system: tetragonal
Energy of formation from the pure elements in eV per formula unit: -8.6
Density of states at the Fermi level in states/eV/atom: 0.44

Lattice parameters (Å, degrees): 3.7534 9.8378 9.8378 90.00 90.00 90.00
With the nearest neighbours (Å) after each atom.
Positions (direct):
1 Pm 0.0000 0.6753 0.1753  3 Zn 2.80-2.98, 2 Pt 3.08
2 Pm 0.0000 0.3247 0.8247  3 Zn 2.80-2.98, 2 Pt 3.08
3 Pm 0.0000 0.1753 0.3247  3 Zn 2.80-2.98, 2 Pt 3.08
4 Pm 0.0000 0.8247 0.6753  3 Zn 2.80-2.98, 2 Pt 3.08
5 Ti 0.0000 0.0000 0.0000  8 Pt 2.78
6 Ti 0.0000 0.5000 0.5000  8 Pt 2.78
7 Zn 0.0000 0.1233 0.6233  6 Pt 2.54-2.63, 1 Pm 2.80
8 Zn 0.0000 0.8767 0.3767  6 Pt 2.54-2.63, 1 Pm 2.80
9 Zn 0.0000 0.6233 0.8767  6 Pt 2.54-2.63, 1 Pm 2.80
10 Zn 0.0000 0.3767 0.1233  6 Pt 2.54-2.63, 1 Pm 2.80
11 Pt 0.5000 0.2000 0.0593  2 Zn 2.63, 2 Ti 2.78, 2 Pt 2.90
12 Pt 0.5000 0.8000 0.9407  2 Zn 2.63, 2 Ti 2.78, 2 Pt 2.90
13 Pt 0.5000 0.0593 0.8000  2 Zn 2.63, 2 Ti 2.78, 2 Pt 2.90
14 Pt 0.5000 0.7000 0.4407  2 Zn 2.63, 2 Ti 2.78, 2 Pt 2.90
15 Pt 0.5000 0.9407 0.2000  2 Zn 2.63, 2 Ti 2.78, 2 Pt 2.90
16 Pt 0.5000 0.3000 0.5593  2 Zn 2.63, 2 Ti 2.78, 2 Pt 2.90
17 Pt 0.5000 0.5593 0.7000  2 Zn 2.63, 2 Ti 2.78, 2 Pt 2.90
18 Pt 0.5000 0.4407 0.3000  2 Zn 2.63, 2 Ti 2.78, 2 Pt 2.90
19 Pt 0.5000 0.5000 0.0000  4 Zn 2.54
20 Pt 0.5000 0.0000 0.5000  4 Zn 2.54



[2]
Pm3TlPt | PBE-GGA | relaxed

Computed properties:
SG: No. 221
Total magnetic moment in μB/f.u.: 0.61
Crystal system: cubic
Energy of formation from the pure elements in eV per formula unit: -2.6
Density of states at the Fermi level in states/eV/atom: 1.03

Lattice parameters (Å, degrees): 7.4453 7.4453 7.4453 90.00 90.00 90.00
With the nearest neighbours (Å) after each atom.
Positions (direct):
1 Pm 0.5000 0.5000 0.5000  8 Pm 3.47, 6 Tl 3.72
2 Pm 0.2312 0.2312 0.2312  3 Pt 3.15, 3 Tl 3.31, 4 Pm 3.44-3.47
3 Pm 0.7688 0.7688 0.2312  3 Pt 3.15, 3 Tl 3.31, 4 Pm 3.44-3.47
4 Pm 0.7688 0.2312 0.7688  3 Pt 3.15, 3 Tl 3.31, 4 Pm 3.44-3.47
5 Pm 0.2312 0.7688 0.7688  3 Pt 3.15, 3 Tl 3.31, 4 Pm 3.44-3.47
6 Pm 0.2312 0.2312 0.7688  3 Pt 3.15, 3 Tl 3.31, 4 Pm 3.44-3.47
7 Pm 0.7688 0.7688 0.7688  3 Pt 3.15, 3 Tl 3.31, 4 Pm 3.44-3.47
8 Pm 0.2312 0.7688 0.2312  3 Pt 3.15, 3 Tl 3.31, 4 Pm 3.44-3.47
9 Pm 0.7688 0.2312 0.2312  3 Pt 3.15, 3 Tl 3.31, 4 Pm 3.44-3.47
10 Tl 0.0000 0.5000 0.5000  8 Pm 3.31
11 Tl 0.5000 0.0000 0.5000  8 Pm 3.31
12 Tl 0.5000 0.5000 0.0000  8 Pm 3.31
13 Pt 0.5000 0.0000 0.0000  8 Pm 3.15
14 Pt 0.0000 0.5000 0.0000  8 Pm 3.15
15 Pt 0.0000 0.0000 0.5000  8 Pm 3.15



[3]
Pm12TlPt6 | PBE-GGA | relaxed

Computed properties:
Excess energy over the best structure of this formula in the dataset in eV per atom: 0.0000
SG: No. 204
Total magnetic moment in μB/f.u.: 0.00
Crystal system: cubic
Energy of formation from the pure elements in eV per formula unit: -14.6
Density of states at the Fermi level in states/eV/atom: 0.83

Lattice parameters (Å, degrees): 8.9019 8.9019 8.9019 109.47 109.47 109.47
With the nearest neighbours (Å) after each atom.
Positions (direct):
1 Pm 0.3024 0.1217 0.8193  3 Pt 2.77-3.08
2 Pm 0.3024 0.4832 0.1807  3 Pt 2.77-3.08
3 Pm 0.6976 0.5168 0.8193  3 Pt 2.77-3.08
4 Pm 0.6976 0.8783 0.1807  3 Pt 2.77-3.08
5 Pm 0.1217 0.8193 0.3024  3 Pt 2.77-3.08
6 Pm 0.4832 0.1807 0.3024  3 Pt 2.77-3.08
7 Pm 0.5168 0.8193 0.6976  3 Pt 2.77-3.08
8 Pm 0.8783 0.1807 0.6976  3 Pt 2.77-3.08
9 Pm 0.8193 0.3024 0.1217  3 Pt 2.77-3.08
10 Pm 0.1807 0.3024 0.4832  3 Pt 2.77-3.08
11 Pm 0.8193 0.6976 0.5168  3 Pt 2.77-3.08
12 Pm 0.1807 0.6976 0.8783  3 Pt 2.77-3.08
13 Tl 0.0000 0.0000 0.0000  12 Pm 3.62
14 Pt 0.3644 0.5000 0.8644  6 Pm 2.77-3.08, 1 Pt 2.79
15 Pt 0.6356 0.5000 0.1356  6 Pm 2.77-3.08, 1 Pt 2.79
16 Pt 0.5000 0.8644 0.3644  6 Pm 2.77-3.08, 1 Pt 2.79
17 Pt 0.5000 0.1356 0.6356  6 Pm 2.77-3.08, 1 Pt 2.79
18 Pt 0.8644 0.3644 0.5000  6 Pm 2.77-3.08, 1 Pt 2.79
19 Pt 0.1356 0.6356 0.5000  6 Pm 2.77-3.08, 1 Pt 2.79



[4]
Pm6Tl2Pt | PBE-GGA | relaxed

Computed properties:
Excess energy over the best structure of this formula in the dataset in eV per atom: 0.0680
SG: No. 136
Total magnetic moment in μB/f.u.: 0.14
Crystal system: tetragonal
Energy of formation from the pure elements in eV per formula unit: -3.5
Density of states at the Fermi level in states/eV/atom: 1.35

Lattice parameters (Å, degrees): 5.1411 10.2390 10.2348 90.00 90.00 90.00
With the nearest neighbours (Å) after each atom.
Positions (direct):
1 Pm 0.0000 0.0256 0.1926  1 Pt 3.16, 3 Tl 3.23-3.34
2 Pm 0.0000 0.6924 0.5255  1 Pt 3.16, 3 Tl 3.23-3.34
3 Pm 0.0000 0.6128 0.8873  2 Pt 3.04, 1 Pm 3.26
4 Pm 0.5000 0.1128 0.6127  2 Pt 3.04, 1 Pm 3.26
5 Pm 0.5000 0.1924 0.9745  1 Pt 3.16, 3 Tl 3.23-3.34
6 Pm 0.5000 0.5256 0.3074  1 Pt 3.16, 3 Tl 3.23-3.34
7 Pm 0.0000 0.9744 0.8074  1 Pt 3.16, 3 Tl 3.23-3.34
8 Pm 0.0000 0.3076 0.4745  1 Pt 3.16, 3 Tl 3.23-3.34
9 Pm 0.0000 0.3872 0.1127  2 Pt 3.04, 1 Pm 3.26
10 Pm 0.5000 0.8872 0.3873  2 Pt 3.04, 1 Pm 3.26
11 Pm 0.5000 0.8076 0.0255  1 Pt 3.16, 3 Tl 3.23-3.34
12 Pm 0.5000 0.4744 0.6926  1 Pt 3.16, 3 Tl 3.23-3.34
13 Tl 0.0000 0.2898 0.7901  8 Pm 3.23-3.45
14 Tl 0.5000 0.7898 0.7099  8 Pm 3.23-3.45
15 Tl 0.5000 0.2102 0.2901  8 Pm 3.23-3.45
16 Tl 0.0000 0.7102 0.2099  8 Pm 3.23-3.45
17 Pt 0.5000 0.5000 0.0000  8 Pm 3.04-3.16
18 Pt 0.0000 0.0000 0.5000  8 Pm 3.04-3.16



[5]
Pm8Tl2Pt | PBE-GGA | relaxed

Computed properties:
Excess energy over the best structure of this formula in the dataset in eV per atom: 0.0389
SG: No. 12
Total magnetic moment in μB/f.u.: 0.00
Crystal system: monoclinic
Energy of formation from the pure elements in eV per formula unit: -3.2
Density of states at the Fermi level in states/eV/atom: 1.19

Lattice parameters (Å, degrees): 5.5759 9.4559 9.4559 122.49 107.18 107.18
With the nearest neighbours (Å) after each atom.
Positions (direct):
1 Pm 0.7179 0.3958 0.1384  1 Pt 2.85
2 Pm 0.7179 0.1384 0.3958  1 Pt 2.85
3 Pm 0.1970 0.2476 0.2476  2 Pt 3.28-3.31, 6 Pm 3.51-3.67, 2 Tl 3.58
4 Pm 0.9545 0.1984 0.8078  8 Pm 3.37-3.68, 4 Tl 3.42-3.60
5 Pm 0.9545 0.8078 0.1984  8 Pm 3.37-3.68, 4 Tl 3.42-3.60
6 Pm 0.7118 0.7582 0.7582  2 Pt 3.28-3.31, 6 Pm 3.51-3.67, 2 Tl 3.58
7 Pm 0.1913 0.8679 0.6105  1 Pt 2.85
8 Pm 0.1913 0.6105 0.8679  1 Pt 2.85
9 Tl 0.4546 0.6887 0.3176  12 Pm 3.39-3.62
10 Tl 0.4546 0.3176 0.6887  12 Pm 3.39-3.62
11 Pt 0.4544 0.0031 0.0031  4 Pm 2.85



[6]
Pm5Tl2Pt | PBE-GGA | relaxed

Computed properties:
Excess energy over the best structure of this formula in the dataset in eV per atom: 0.1607
SG: No. 107
Total magnetic moment in μB/f.u.: 0.00
Crystal system: tetragonal
Energy of formation from the pure elements in eV per formula unit: -2.8
Density of states at the Fermi level in states/eV/atom: 0.93

Lattice parameters (Å, degrees): 7.1780 7.1780 6.7866 121.93 121.93 89.99
With the nearest neighbours (Å) after each atom.
Positions (direct):
1 Pm 0.7315 0.2328 0.9643  1 Pt 2.92
2 Pm 0.2324 0.2324 0.9636  1 Pt 2.92
3 Pm 0.7313 0.7313 0.9636  1 Pt 2.92
4 Pm 0.2328 0.7315 0.9643  1 Pt 2.92
5 Pm 0.7415 0.7415 0.4829  8 Pm 3.34-3.45, 4 Tl 3.59, 1 Pt 3.61
6 Tl 0.2329 0.7328 0.4658  10 Pm 3.39-3.59, 2 Pt 3.68
7 Tl 0.7329 0.2329 0.4658  10 Pm 3.39-3.59, 2 Pt 3.68
8 Pt 0.1418 0.1418 0.2835  4 Pm 2.92